[1]
The following is a DFT calculation (PBE-GGA) of TeF after structural relaxation.

Results
* final energy: -3.496 eV/atom
* energy relative to the lowest polymorph listed for this composition: 25 kJ/mol of formula units
* DOS(E_F): 0.477 states/eV/atom
* uncorrected formation energy: -191.0 kJ/mol of formula units

```
TeF
1.0
10.150 0.000 0.000
0.000 10.150 0.000
0.000 0.000 4.131
Te F
8 8
Direct
0.897 0.410 0.500
0.103 0.590 0.500
0.590 0.897 0.500
0.410 0.103 0.500
0.940 0.733 0.000
0.060 0.267 0.000
0.267 0.940 0.000
0.733 0.060 0.000
0.866 0.810 0.500
0.134 0.190 0.500
0.190 0.866 0.500
0.810 0.134 0.500
0.692 0.253 0.000
0.308 0.747 0.000
0.747 0.692 0.000
0.253 0.308 0.000
```



[2]
The following is a DFT calculation (PBE-GGA) of Te2F13 after structural relaxation.

Results
* final energy: -3.704 eV/atom
* DOS(E_F): 0.235 states/eV/atom
* uncorrected formation energy: -2408.0 kJ/mol of formula units

```
Te2F13
1.0
-0.986 -4.697 -1.882
1.720 -1.459 6.333
-7.697 1.806 -1.207
Te F
2 13
Direct
0.820 0.849 0.725
0.180 0.151 0.275
0.620 0.561 0.055
0.380 0.439 0.945
0.000 0.000 0.000
0.153 0.922 0.634
0.847 0.078 0.366
0.900 0.573 0.698
0.100 0.427 0.302
0.658 0.714 0.486
0.342 0.286 0.514
0.494 0.786 0.827
0.506 0.214 0.173
0.758 0.137 0.771
0.242 0.863 0.229
```



[3]
The following is a DFT calculation (PBE-GGA) of TeF after structural relaxation.

Results
* final energy: -3.576 eV/atom
* energy relative to the lowest polymorph listed for this composition: 10 kJ/mol of formula units
* DOS(E_F): 0.379 states/eV/atom
* uncorrected formation energy: -206.3 kJ/mol of formula units

```
TeF
1.0
-8.107 2.001 1.539
-0.423 -4.164 3.186
2.277 4.483 6.162
Te F
8 8
Direct
0.102 0.250 0.465
0.602 0.250 0.035
0.898 0.750 0.535
0.398 0.750 0.965
0.209 0.250 0.840
0.709 0.250 0.660
0.791 0.750 0.160
0.291 0.750 0.340
0.975 0.250 0.858
0.475 0.250 0.642
0.025 0.750 0.142
0.525 0.750 0.358
0.177 0.250 0.091
0.677 0.250 0.409
0.823 0.750 0.909
0.323 0.750 0.591
```



[4]
The following is a DFT calculation (PBE-GGA) of ThTeF after structural relaxation.

Results
* final energy: -6.298 eV/atom
* energy relative to the lowest polymorph listed for this composition: 52 kJ/mol of formula units
* DOS(E_F): 0.575 states/eV/atom
* uncorrected formation energy: -623.5 kJ/mol of formula units

```
ThTeF
1.0
-0.658 0.896 -4.424
-0.255 -6.190 -1.232
-5.141 -1.197 2.871
F Te Th
2 2 2
Direct
0.129 0.622 0.759
0.871 0.378 0.241
0.383 0.789 0.268
0.617 0.211 0.732
0.683 0.695 0.867
0.317 0.305 0.133
```



[5]
The following is a DFT calculation (PBE-GGA) of ThTeF after structural relaxation.

Results
* final energy: -6.478 eV/atom
* energy relative to the lowest polymorph listed for this composition: 0 kJ/mol of formula units
* DOS(E_F): 0.257 states/eV/atom
* uncorrected formation energy: -675.5 kJ/mol of formula units

```
ThTeF
1.0
4.406 0.000 0.000
0.000 4.267 0.000
0.000 -2.133 3.695
Te Th F
1 1 1
Direct
0.667 0.667 0.333
0.166 0.000 0.000
0.167 0.333 0.667
```



[6]
The following is a DFT calculation (PBE-GGA) of Ti2TeF after structural relaxation.

Results
* final energy: -6.035 eV/atom
* energy relative to the lowest polymorph listed for this composition: 0 kJ/mol of formula units
* DOS(E_F): 0.891 states/eV/atom
* uncorrected formation energy: -321.8 kJ/mol of formula units

```
Ti2TeF
1.0
-0.267 -3.114 3.487
-2.692 -2.753 -2.665
4.256 -6.170 -2.040
F Te Ti
2 2 4
Direct
0.500 0.500 0.000
0.250 0.750 0.500
0.000 0.000 0.000
0.750 0.250 0.500
0.390 0.125 0.250
0.360 0.625 0.250
0.375 0.610 0.750
0.875 0.640 0.750
```



[7]
The following is a DFT calculation (PBE-GGA) of Ti3Te4F2 after structural relaxation.

Results
* final energy: -5.535 eV/atom
* DOS(E_F): 0.764 states/eV/atom
* uncorrected formation energy: -947.5 kJ/mol of formula units

```
Ti3Te4F2
1.0
3.338 0.000 0.000
-1.669 2.891 0.000
0.000 0.000 21.933
Ti Te F
3 4 2
Direct
0.000 0.000 0.980
0.000 0.000 0.306
0.667 0.333 0.673
0.000 0.000 0.582
0.667 0.333 0.397
0.667 0.333 0.215
0.000 0.000 0.765
0.667 0.333 0.034
0.667 0.333 0.925
```



[8]
The following is a DFT calculation (PBE-GGA) of TiTeF3 after structural relaxation.

Results
* final energy: -5.152 eV/atom
* energy relative to the lowest polymorph listed for this composition: 0 kJ/mol of formula units
* DOS(E_F): 1.284 states/eV/atom
* uncorrected formation energy: -879.1 kJ/mol of formula units

```
TiTeF3
1.0
4.226 0.000 0.000
0.000 4.226 0.000
0.000 0.000 4.226
F Te Ti
3 1 1
Direct
0.000 0.500 0.000
0.000 0.000 0.500
0.500 0.000 0.000
0.500 0.500 0.500
0.000 0.000 0.000
```



[9]
The following is a DFT calculation (PBE-GGA) of Ti2TeF after structural relaxation.

Results
* final energy: -6.030 eV/atom
* energy relative to the lowest polymorph listed for this composition: 2 kJ/mol of formula units
* DOS(E_F): 0.852 states/eV/atom
* uncorrected formation energy: -320.2 kJ/mol of formula units

```
Ti2TeF
1.0
0.000 3.217 3.217
3.217 0.000 3.217
3.217 3.217 0.000
F Te Ti
1 1 2
Direct
0.000 0.000 0.000
0.500 0.500 0.500
0.250 0.250 0.250
0.750 0.750 0.750
```



[10]
The following is a DFT calculation (PBE-GGA) of TiTeF after structural relaxation.

Results
* final energy: -5.882 eV/atom
* DOS(E_F): 0.277 states/eV/atom
* uncorrected formation energy: -457.2 kJ/mol of formula units

```
TiTeF
1.0
3.895 0.000 0.000
0.000 7.500 0.000
0.000 0.000 8.498
Te Ti F
4 4 4
Direct
0.750 0.064 0.775
0.250 0.564 0.725
0.250 0.936 0.225
0.750 0.436 0.275
0.750 0.098 0.422
0.250 0.598 0.078
0.250 0.902 0.578
0.750 0.402 0.922
0.750 0.825 0.508
0.250 0.325 0.992
0.250 0.175 0.492
0.750 0.675 0.008
```



[11]
The following is a DFT calculation (PBE-GGA) of TiTeF3 after structural relaxation.

Results
* final energy: -3.987 eV/atom
* energy relative to the lowest polymorph listed for this composition: 562 kJ/mol of formula units
* DOS(E_F): 0.922 states/eV/atom
* uncorrected formation energy: -317.1 kJ/mol of formula units

```
TiTeF3
1.0
-3.345 -2.657 1.930
2.419 -0.130 4.013
-2.221 3.860 1.463
F Te Ti
3 1 1
Direct
0.000 0.500 0.000
0.000 0.000 0.500
0.500 0.000 0.000
0.000 0.000 0.000
0.500 0.500 0.500
```



[12]
The following is a DFT calculation (PBE-GGA) of Tl3TeF8 after structural relaxation.

Results
* final energy: -3.982 eV/atom
* DOS(E_F): 0.369 states/eV/atom
* uncorrected formation energy: -2177.8 kJ/mol of formula units

```
Tl3TeF8
1.0
-3.026 0.415 -5.656
-2.406 -5.142 4.563
-5.518 1.266 3.045
Tl Te F
3 1 8
Direct
0.750 0.500 0.750
0.250 0.500 0.250
0.500 0.000 0.500
0.000 0.000 0.000
0.293 0.296 0.997
0.003 0.296 0.707
0.707 0.704 0.293
0.997 0.704 0.003
0.719 0.874 0.845
0.155 0.874 0.281
0.281 0.126 0.719
0.845 0.126 0.155
```



[13]
The following is a DFT calculation (PBE-GGA) of TlTe2F after structural relaxation.

Results
* final energy: -2.947 eV/atom
* energy relative to the lowest polymorph listed for this composition: 109 kJ/mol of formula units
* DOS(E_F): 0.328 states/eV/atom
* uncorrected formation energy: -122.4 kJ/mol of formula units

```
TlTe2F
1.0
2.621 0.000 7.820
-1.310 2.270 7.820
-1.310 -2.270 7.820
Tl Te F
1 2 1
Direct
0.500 0.500 0.500
0.097 0.097 0.097
0.903 0.903 0.903
0.000 0.000 0.000
```



[14]
The following is a DFT calculation (PBE-GGA) of Tl2TeF7 after structural relaxation.

Results
* final energy: -4.036 eV/atom
* DOS(E_F): 0.402 states/eV/atom
* uncorrected formation energy: -1870.1 kJ/mol of formula units

```
Tl2TeF7
1.0
6.480 0.000 3.160
2.730 7.053 2.627
-0.115 -0.582 8.459
Tl Te F
4 2 14
Direct
0.604 0.910 0.723
0.764 0.410 0.223
0.236 0.590 0.777
0.396 0.090 0.277
0.894 0.250 0.750
0.106 0.750 0.250
0.682 0.523 0.774
0.022 0.023 0.274
0.245 0.823 0.994
0.249 0.142 0.625
0.612 0.250 0.750
0.937 0.323 0.494
0.016 0.358 0.875
0.984 0.642 0.125
0.063 0.677 0.506
0.388 0.750 0.250
0.751 0.858 0.375
0.755 0.177 0.006
0.978 0.977 0.726
0.318 0.477 0.226
```



[15]
The following is a DFT calculation (PBE-GGA) of TlTeF2 after structural relaxation.

Results
* final energy: -3.300 eV/atom
* energy relative to the lowest polymorph listed for this composition: 135 kJ/mol of formula units
* DOS(E_F): 0.711 states/eV/atom
* uncorrected formation energy: -380.9 kJ/mol of formula units

```
TlTeF2
1.0
7.162 0.000 0.000
0.000 7.162 0.000
3.581 3.581 3.349
Tl Te F
2 2 4
Direct
0.000 0.000 0.000
0.750 0.250 0.500
0.500 0.500 0.000
0.250 0.750 0.500
0.582 0.125 0.250
0.168 0.625 0.250
0.375 0.418 0.750
0.875 0.832 0.750
```



[16]
The following is a DFT calculation (PBE-GGA) of Tl2Te2F after structural relaxation.

Results
* final energy: -3.186 eV/atom
* energy relative to the lowest polymorph listed for this composition: 23 kJ/mol of formula units
* DOS(E_F): 0.200 states/eV/atom
* uncorrected formation energy: -293.8 kJ/mol of formula units

```
Tl2Te2F
1.0
4.319 0.000 0.000
0.000 4.319 0.000
2.159 2.159 8.860
Tl Te F
2 2 1
Direct
0.409 0.409 0.182
0.591 0.591 0.818
0.750 0.250 0.500
0.250 0.750 0.500
0.000 0.000 0.000
```



[17]
The following is a DFT calculation (PBE-GGA) of Tl2Te2F after structural relaxation.

Results
* final energy: -3.234 eV/atom
* energy relative to the lowest polymorph listed for this composition: 0 kJ/mol of formula units
* DOS(E_F): 0.346 states/eV/atom
* uncorrected formation energy: -316.9 kJ/mol of formula units

```
Tl2Te2F
1.0
7.023 0.000 0.000
0.000 7.023 0.000
0.000 0.000 6.247
Tl Te F
4 4 2
Direct
0.325 0.825 0.000
0.825 0.675 0.000
0.675 0.175 0.000
0.175 0.325 0.000
0.140 0.640 0.500
0.640 0.860 0.500
0.860 0.360 0.500
0.360 0.140 0.500
0.000 0.000 0.000
0.500 0.500 0.000
```



[18]
The following is a DFT calculation (PBE-GGA) of TlTeF6 after structural relaxation.

Results
* final energy: -4.086 eV/atom
* energy relative to the lowest polymorph listed for this composition: 0 kJ/mol of formula units
* DOS(E_F): 0.159 states/eV/atom
* uncorrected formation energy: -1538.9 kJ/mol of formula units

```
TlTeF6
1.0
5.278 0.147 -0.687
-0.889 5.191 -0.969
0.069 0.316 5.345
Tl Te F
1 1 6
Direct
0.500 0.500 0.500
0.000 0.000 0.000
0.094 0.741 0.741
0.740 0.737 0.081
0.260 0.263 0.919
0.906 0.259 0.259
0.260 0.919 0.263
0.740 0.081 0.737
```



[19]
The following is a DFT calculation (PBE-GGA) of TlTe2F after structural relaxation.

Results
* final energy: -3.230 eV/atom
* energy relative to the lowest polymorph listed for this composition: 0 kJ/mol of formula units
* DOS(E_F): 0.661 states/eV/atom
* uncorrected formation energy: -231.3 kJ/mol of formula units

```
TlTe2F
1.0
-0.569 7.219 -7.847
-8.368 -5.173 -4.152
-5.971 2.371 -4.650
Tl Te F
2 4 2
Direct
0.000 0.000 0.000
0.750 0.250 0.500
0.694 0.125 0.250
0.056 0.625 0.250
0.375 0.306 0.750
0.875 0.944 0.750
0.500 0.500 0.000
0.250 0.750 0.500
```



[20]
The following is a DFT calculation (PBE-GGA) of Tl6Te3F after structural relaxation.

Results
* final energy: -3.066 eV/atom
* DOS(E_F): 0.442 states/eV/atom
* uncorrected formation energy: -498.1 kJ/mol of formula units

```
Tl6Te3F
1.0
7.573 0.000 0.000
0.000 9.682 -1.200
0.000 0.359 9.750
Tl Te F
12 6 2
Direct
0.165 0.708 0.624
0.665 0.624 0.708
0.153 0.387 0.910
0.653 0.910 0.387
0.283 0.997 0.003
0.690 0.252 0.748
0.190 0.748 0.252
0.783 0.003 0.997
0.153 0.090 0.613
0.653 0.613 0.090
0.165 0.376 0.292
0.665 0.292 0.376
0.521 0.941 0.720
0.021 0.720 0.941
0.322 0.398 0.602
0.822 0.602 0.398
0.021 0.059 0.280
0.521 0.280 0.059
0.011 0.143 0.857
0.511 0.857 0.143
```